No. 1
The following is a DFT calculation (PBE-GGA) of crystalline TbVRh2 at its relaxed geometry.

a = 4.1956 Å, b = 4.1956 Å, c = 14.6455 Å
α = 90.00°, β = 90.00°, γ = 120.00°
Element x y z (fractional)
Tb 0.0000 0.0000 0.0000
Tb 0.3333 0.6667 0.6667
Tb 0.6667 0.3333 0.3333
V 0.0000 0.0000 0.5000
V 0.3333 0.6667 0.1667
V 0.6667 0.3333 0.8333
Rh 0.0000 0.0000 0.2141
Rh 0.0000 0.0000 0.7859
Rh 0.3333 0.6667 0.4526
Rh 0.3333 0.6667 0.8808
Rh 0.6667 0.3333 0.1192
Rh 0.6667 0.3333 0.5474

The calculation puts the total magnetic moment at 0.00 μB/atom. The value obtained for the final energy is -7.519 eV/atom. The calculation puts the relative energy among the computed polymorphs at 53 meV per atom. The value obtained for the density of states at the Fermi level is 5.05 states/eV/f.u.


No. 2
The following is a DFT calculation (PBE-GGA) of crystalline TbVRh2 at its relaxed geometry.

a = 6.5125 Å, b = 6.5125 Å, c = 6.5125 Å
α = 90.00°, β = 90.00°, γ = 90.00°
Element x y z (fractional)
Tb 0.0000 0.0000 0.0000
Tb 0.0000 0.5000 0.5000
Tb 0.5000 0.0000 0.5000
Tb 0.5000 0.5000 0.0000
V 0.0000 0.0000 0.5000
V 0.0000 0.5000 0.0000
V 0.5000 0.0000 0.0000
V 0.5000 0.5000 0.5000
Rh 0.2500 0.2500 0.2500
Rh 0.2500 0.2500 0.7500
Rh 0.2500 0.7500 0.2500
Rh 0.2500 0.7500 0.7500
Rh 0.7500 0.2500 0.2500
Rh 0.7500 0.2500 0.7500
Rh 0.7500 0.7500 0.2500
Rh 0.7500 0.7500 0.7500

The calculation puts the total magnetic moment at 0.57 μB/atom. The value obtained for the final energy is -7.467 eV/atom. The calculation puts the relative energy among the computed polymorphs at 104 meV per atom. The value obtained for the density of states at the Fermi level is 6.18 states/eV/f.u.


No. 3
The following is a DFT calculation (PBE-GGA) of crystalline TbVRh2 at its relaxed geometry.

a = 4.6643 Å, b = 4.6643 Å, c = 3.1665 Å
α = 90.00°, β = 90.00°, γ = 90.00°
Element x y z (fractional)
Tb 0.0000 0.0000 0.0000
V 0.5000 0.5000 0.0000
Rh 0.0000 0.5000 0.5000
Rh 0.5000 0.0000 0.5000

The calculation puts the total magnetic moment at 0.58 μB/atom. The value obtained for the final energy is -7.468 eV/atom. The calculation puts the relative energy among the computed polymorphs at 104 meV per atom. The value obtained for the density of states at the Fermi level is 5.79 states/eV/f.u.


No. 4
The following is a DFT calculation (PBE-GGA) of crystalline TbVRh2 at its relaxed geometry.

a = 3.0647 Å, b = 3.0647 Å, c = 7.2064 Å
α = 90.00°, β = 90.00°, γ = 90.00°
Element x y z (fractional)
Tb 0.0000 0.0000 0.0000
V 0.0000 0.0000 0.5000
Rh 0.5000 0.5000 0.2999
Rh 0.5000 0.5000 0.7001

The calculation puts the total magnetic moment at 0.00 μB/atom. The value obtained for the final energy is -7.572 eV/atom. The calculation puts the relative energy among the computed polymorphs at 0 meV per atom. The value obtained for the density of states at the Fermi level is 3.87 states/eV/f.u.


No. 5
The following is a DFT calculation (PBE-GGA) of crystalline Tb3YRh at its relaxed geometry.

a = 5.4274 Å, b = 5.4274 Å, c = 5.4274 Å
α = 90.00°, β = 90.00°, γ = 90.00°
Element x y z (fractional)
Tb 0.0000 0.0000 0.5000
Tb 0.0000 0.5000 0.0000
Tb 0.5000 0.0000 0.0000
Y 0.5000 0.5000 0.5000
Rh 0.0000 0.0000 0.0000

The calculation puts the total magnetic moment at 0.00 μB/atom. The value obtained for the final energy is -5.746 eV/atom. The calculation puts the relative energy among the computed polymorphs at 174 meV per atom. The value obtained for the density of states at the Fermi level is 8.37 states/eV/f.u.


No. 6
The following is a DFT calculation (PBE-GGA) of crystalline Tb2YRh2 at its relaxed geometry.

a = 5.5882 Å, b = 4.3489 Å, c = 10.4407 Å
α = 90.00°, β = 98.99°, γ = 90.00°
Element x y z (fractional)
Tb 0.1134 0.2500 0.3850
Tb 0.2324 0.7500 0.9646
Tb 0.7676 0.2500 0.0354
Tb 0.8866 0.7500 0.6150
Y 0.4475 0.2500 0.7114
Y 0.5525 0.7500 0.2886
Rh 0.3095 0.2500 0.1387
Rh 0.3437 0.7500 0.5359
Rh 0.6563 0.2500 0.4641
Rh 0.6905 0.7500 0.8613

The calculation puts the total magnetic moment at 0.00 μB/atom. The value obtained for the final energy is -6.789 eV/atom. The calculation puts the relative energy among the computed polymorphs at 0 meV per atom. The value obtained for the density of states at the Fermi level is 3.07 states/eV/f.u.


No. 7
The following is a DFT calculation (PBE-GGA) of crystalline Tb2YRh2 at its relaxed geometry.

a = 13.3398 Å, b = 13.3398 Å, c = 4.6703 Å
α = 90.00°, β = 90.00°, γ = 163.67°
Element x y z (fractional)
Tb 0.0520 0.9480 0.7500
Tb 0.2656 0.7344 0.2500
Tb 0.7344 0.2656 0.7500
Tb 0.9480 0.0520 0.2500
Y 0.3633 0.6367 0.7500
Y 0.6367 0.3633 0.2500
Rh 0.1602 0.8398 0.7500
Rh 0.4674 0.5326 0.7500
Rh 0.5326 0.4674 0.2500
Rh 0.8398 0.1602 0.2500

The calculation puts the total magnetic moment at 0.00 μB/atom. The value obtained for the final energy is -6.691 eV/atom. The calculation puts the relative energy among the computed polymorphs at 98 meV per atom. The value obtained for the density of states at the Fermi level is 3.26 states/eV/f.u.


No. 8
The following is a DFT calculation (PBE-GGA) of crystalline Tb4YRh2 at its relaxed geometry.

a = 7.8707 Å, b = 6.4076 Å, c = 7.8727 Å
α = 90.00°, β = 112.69°, γ = 90.00°
Element x y z (fractional)
Tb 0.1181 0.2500 0.4822
Tb 0.1642 0.7500 0.2513
Tb 0.2630 0.5027 0.9111
Tb 0.2630 0.9973 0.9111
Tb 0.7370 0.0027 0.0889
Tb 0.7370 0.4973 0.0889
Tb 0.8358 0.2500 0.7487
Tb 0.8819 0.7500 0.5178
Y 0.4740 0.2500 0.3425
Y 0.5260 0.7500 0.6575
Rh 0.0881 0.2500 0.1263
Rh 0.4904 0.2500 0.7531
Rh 0.5097 0.7500 0.2469
Rh 0.9119 0.7500 0.8737

The calculation puts the total magnetic moment at 0.00 μB/atom. The value obtained for the final energy is -6.134 eV/atom. The value obtained for the density of states at the Fermi level is 8.07 states/eV/f.u.


No. 9
The following is a DFT calculation (PBE-GGA) of crystalline Tb3YRh at its relaxed geometry.

a = 7.5797 Å, b = 6.5344 Å, c = 6.1744 Å
α = 90.00°, β = 90.00°, γ = 90.00°
Element x y z (fractional)
Tb 0.0000 0.1498 0.0000
Tb 0.2496 0.3144 0.5067
Tb 0.2504 0.6856 0.0067
Tb 0.5000 0.8502 0.5000
Tb 0.7504 0.3144 0.5067
Tb 0.7496 0.6856 0.0067
Y 0.0000 0.8483 0.5146
Y 0.5000 0.1517 0.0146
Rh 0.0000 0.4992 0.2548
Rh 0.5000 0.5008 0.7548

The calculation puts the total magnetic moment at 0.00 μB/atom. The value obtained for the final energy is -5.827 eV/atom. The calculation puts the relative energy among the computed polymorphs at 93 meV per atom. The value obtained for the density of states at the Fermi level is 6.05 states/eV/f.u.


No. 10
The following is a DFT calculation (PBE-GGA) of crystalline TbY2Rh9 at its relaxed geometry.

a = 9.2917 Å, b = 9.2917 Å, c = 9.2917 Å
α = 32.91°, β = 32.91°, γ = 32.91°
Element x y z (fractional)
Tb 0.0000 0.0000 0.0000
Y 0.1389 0.1389 0.1389
Y 0.8611 0.8611 0.8611
Rh 0.0824 0.5826 0.5826
Rh 0.3330 0.3330 0.3330
Rh 0.4174 0.4174 0.9176
Rh 0.4174 0.9176 0.4174
Rh 0.5000 0.5000 0.5000
Rh 0.5826 0.0824 0.5826
Rh 0.5826 0.5826 0.0824
Rh 0.6670 0.6670 0.6670
Rh 0.9176 0.4174 0.4174

The calculation puts the total magnetic moment at 0.00 μB/atom. The value obtained for the final energy is -7.541 eV/atom. The value obtained for the density of states at the Fermi level is 12.63 states/eV/f.u.


No. 11
The following is a DFT calculation (PBE-GGA) of crystalline Tb3YRh at its relaxed geometry.

a = 6.3084 Å, b = 6.3084 Å, c = 13.7786 Å
α = 114.06°, β = 114.06°, γ = 34.73°
Element x y z (fractional)
Tb 0.0000 0.0000 0.0000
Tb 0.0118 0.0118 0.3618
Tb 0.3445 0.3445 0.4745
Tb 0.4526 0.4526 0.7540
Tb 0.6607 0.6607 0.2388
Tb 0.6739 0.6739 0.6000
Y 0.2212 0.2212 0.8451
Y 0.3284 0.3284 0.1242
Rh 0.0121 0.0121 0.6295
Rh 0.6581 0.6581 0.9685

The calculation puts the total magnetic moment at 0.00 μB/atom. The value obtained for the final energy is -5.920 eV/atom. The calculation puts the relative energy among the computed polymorphs at 0 meV per atom. The value obtained for the density of states at the Fermi level is 5.81 states/eV/f.u.


No. 12
The following is a DFT calculation (PBE-GGA) of crystalline Tb2YRh9 at its relaxed geometry.

a = 9.3006 Å, b = 9.3006 Å, c = 9.3006 Å
α = 32.87°, β = 32.87°, γ = 32.87°
Element x y z (fractional)
Tb 0.1389 0.1389 0.1389
Tb 0.8611 0.8611 0.8611
Y 0.0000 0.0000 0.0000
Rh 0.0823 0.5826 0.5826
Rh 0.3330 0.3330 0.3330
Rh 0.4174 0.4174 0.9177
Rh 0.4174 0.9177 0.4174
Rh 0.5000 0.5000 0.5000
Rh 0.5826 0.0823 0.5826
Rh 0.5826 0.5826 0.0823
Rh 0.6670 0.6670 0.6670
Rh 0.9177 0.4174 0.4174

The calculation puts the total magnetic moment at 0.00 μB/atom. The value obtained for the final energy is -7.387 eV/atom. The value obtained for the density of states at the Fermi level is 12.48 states/eV/f.u.